Material: TaCoSb
Method: DFT, PBE-GGA
State: optimized geometry

Values from the calculation:
Total DFT energy (no corrections) = -0.5595 Ry per atom

```
data_TaCoSb
_chemical_formula_sum 'Ta3 Co3 Sb3'
_cell_length_a 6.4377
_cell_length_b 6.4377
_cell_length_c 4.1462
_cell_angle_alpha 90.00
_cell_angle_beta 90.00
_cell_angle_gamma 120.00
_space_group_name_H-M_alt 'P 1'
_space_group_IT_number 1
loop_
_space_group_symop_operation_xyz
'x,y,z'
loop_
_atom_site_label
_atom_site_fract_x
_atom_site_fract_y
_atom_site_fract_z
Co1 0.0000 0.2465 0.0000
Sb1 0.3333 0.6667 0.0000
Ta1 0.0000 0.5687 0.5000
Ta2 0.4313 0.4313 0.5000
Co2 0.7535 0.7535 0.0000
Ta3 0.5687 0.0000 0.5000
Sb2 0.6667 0.3333 0.0000
Sb3 0.0000 0.0000 0.5000
Co3 0.2465 0.0000 0.0000
```

Material: TaCoSb
Method: DFT, PBE-GGA
State: optimized geometry

Values from the calculation:
Total DFT energy (no corrections) = -0.5640 Ry per atom

```
data_TaCoSb
_chemical_formula_sum 'Ta3 Co3 Sb3'
_cell_length_a 6.7507
_cell_length_b 6.7507
_cell_length_c 3.7495
_cell_angle_alpha 90.00
_cell_angle_beta 90.00
_cell_angle_gamma 120.00
_space_group_name_H-M_alt 'P 1'
_space_group_IT_number 1
loop_
_space_group_symop_operation_xyz
'x,y,z'
loop_
_atom_site_label
_atom_site_fract_x
_atom_site_fract_y
_atom_site_fract_z
Ta1 0.0000 0.6137 0.5000
Co1 0.6667 0.3333 0.0000
Co2 0.0000 0.0000 0.5000
Sb1 0.2797 0.0000 0.0000
Co3 0.3333 0.6667 0.0000
Sb2 0.7203 0.7203 0.0000
Ta2 0.3863 0.3863 0.5000
Ta3 0.6137 0.0000 0.5000
Sb3 0.0000 0.2797 0.0000
```

Material: TaCoSb
Method: DFT, PBE-GGA
State: optimized geometry

Values from the calculation:
Total DFT energy (no corrections) = -0.5749 Ry per atom

```
data_TaCoSb
_chemical_formula_sum 'Ta1 Co1 Sb1'
_cell_length_a 4.2128
_cell_length_b 4.2128
_cell_length_c 4.2128
_cell_angle_alpha 60.00
_cell_angle_beta 60.00
_cell_angle_gamma 60.00
_space_group_name_H-M_alt 'P 1'
_space_group_IT_number 1
loop_
_space_group_symop_operation_xyz
'x,y,z'
loop_
_atom_site_label
_atom_site_fract_x
_atom_site_fract_y
_atom_site_fract_z
Ta1 0.7500 0.7500 0.7500
Co1 0.0000 0.0000 0.0000
Sb1 0.2500 0.2500 0.2500
```

Material: TaCoSb
Method: DFT, PBE-GGA
State: optimized geometry

Values from the calculation:
Total DFT energy (no corrections) = -0.5368 Ry per atom

```
data_TaCoSb
_chemical_formula_sum 'Ta3 Co3 Sb3'
_cell_length_a 7.7339
_cell_length_b 7.7339
_cell_length_c 2.9831
_cell_angle_alpha 90.00
_cell_angle_beta 90.00
_cell_angle_gamma 120.00
_space_group_name_H-M_alt 'P 1'
_space_group_IT_number 1
loop_
_space_group_symop_operation_xyz
'x,y,z'
loop_
_atom_site_label
_atom_site_fract_x
_atom_site_fract_y
_atom_site_fract_z
Ta1 0.0000 0.3063 0.0000
Ta2 0.6937 0.6937 0.0000
Co1 0.6438 0.0000 0.5000
Co2 0.3562 0.3562 0.5000
Sb1 0.6667 0.3333 0.0000
Co3 0.0000 0.6438 0.5000
Sb2 0.0000 0.0000 0.5000
Sb3 0.3333 0.6667 0.0000
Ta3 0.3063 0.0000 0.0000
```

Material: Ta4Co5Sb5
Method: DFT, PBE-GGA
State: optimized geometry

Values from the calculation:
Total DFT energy (no corrections) = -0.5687 Ry per atom

```
data_Ta4Co5Sb5
_chemical_formula_sum 'Ta4 Co5 Sb5'
_cell_length_a 5.9448
_cell_length_b 7.2255
_cell_length_c 7.2255
_cell_angle_alpha 80.26
_cell_angle_beta 114.29
_cell_angle_gamma 114.29
_space_group_name_H-M_alt 'P 1'
_space_group_IT_number 1
loop_
_space_group_symop_operation_xyz
'x,y,z'
loop_
_atom_site_label
_atom_site_fract_x
_atom_site_fract_y
_atom_site_fract_z
Sb1 0.9034 0.6277 0.1911
Ta1 0.2036 0.7953 0.6026
Sb2 0.0847 0.3723 0.8089
Sb3 0.2876 0.1911 0.3723
Co1 0.5143 0.6781 0.8949
Sb4 0.5000 0.0000 0.0000
Co2 0.1638 0.1051 0.6781
Ta2 0.5917 0.3974 0.7953
Co3 0.9412 0.3219 0.1051
Ta3 0.3990 0.6026 0.2047
Sb5 0.7243 0.8089 0.6277
Co4 0.3806 0.8949 0.3219
Ta4 0.8057 0.2047 0.3974
Co5 0.7500 0.5000 0.5000
```

Material: TaCoSbW
Method: DFT, PBE-GGA
State: optimized geometry

Values from the calculation:
Total DFT energy (no corrections) = -0.6410 Ry per atom

```
data_TaCoSbW
_chemical_formula_sum 'Ta1 Co1 Sb1 W1'
_cell_length_a 4.5214
_cell_length_b 4.5214
_cell_length_c 4.5214
_cell_angle_alpha 60.00
_cell_angle_beta 60.00
_cell_angle_gamma 60.00
_space_group_name_H-M_alt 'P 1'
_space_group_IT_number 1
loop_
_space_group_symop_operation_xyz
'x,y,z'
loop_
_atom_site_label
_atom_site_fract_x
_atom_site_fract_y
_atom_site_fract_z
Sb1 0.0000 0.0000 0.0000
Ta1 0.5000 0.5000 0.5000
Co1 0.7500 0.7500 0.7500
W1 0.2500 0.2500 0.2500
```

Material: YTaCo2Sb2
Method: DFT, PBE-GGA
State: optimized geometry

Values from the calculation:
Total DFT energy (no corrections) = -0.5402 Ry per atom

```
data_YTaCo2Sb2
_chemical_formula_sum 'Y2 Ta2 Co4 Sb4'
_cell_length_a 6.1412
_cell_length_b 4.3108
_cell_length_c 8.7181
_cell_angle_alpha 90.00
_cell_angle_beta 90.00
_cell_angle_gamma 90.00
_space_group_name_H-M_alt 'P 1'
_space_group_IT_number 1
loop_
_space_group_symop_operation_xyz
'x,y,z'
loop_
_atom_site_label
_atom_site_fract_x
_atom_site_fract_y
_atom_site_fract_z
Sb1 0.5060 0.0000 0.3634
Co1 0.7726 0.0000 0.6540
Ta1 0.9937 0.0000 0.8802
Y1 0.5048 0.5000 0.6211
Ta2 0.4937 0.5000 0.1198
Sb2 0.0060 0.5000 0.6366
Co2 0.2345 0.5000 0.8902
Sb3 0.9884 0.5000 0.1221
Co3 0.2726 0.5000 0.3460
Y2 0.0048 0.0000 0.3789
Co4 0.7345 0.0000 0.1098
Sb4 0.4884 0.0000 0.8779
```

Material: ZrTaCoSb
Method: DFT, PBE-GGA
State: optimized geometry

Values from the calculation:
Total DFT energy (no corrections) = -0.5641 Ry per atom

```
data_ZrTaCoSb
_chemical_formula_sum 'Zr1 Ta1 Co1 Sb1'
_cell_length_a 4.6570
_cell_length_b 4.6570
_cell_length_c 4.6570
_cell_angle_alpha 60.00
_cell_angle_beta 60.00
_cell_angle_gamma 60.00
_space_group_name_H-M_alt 'P 1'
_space_group_IT_number 1
loop_
_space_group_symop_operation_xyz
'x,y,z'
loop_
_atom_site_label
_atom_site_fract_x
_atom_site_fract_y
_atom_site_fract_z
Sb1 0.0000 0.0000 0.0000
Ta1 0.2500 0.2500 0.2500
Zr1 0.5000 0.5000 0.5000
Co1 0.7500 0.7500 0.7500
```